# 1
First-principles (GGA-PBE) data for a relaxed YTiSn2 crystal, as listed in Alexandria via LeMat-Bulk.

The structure in POSCAR format:
```
YTiSn2
1.0
3.470 -1.139 -3.587
2.561 -4.426 0.230
-0.962 -3.694 -3.410
Ti Sn Y
1 2 1
Cartesian
0.000 0.000 0.000
3.802 -6.945 -5.075
1.267 -2.315 -1.692
2.535 -4.630 -3.384
```

Properties
Calculated formation energy, meV per atom: -276
Total DFT energy (no corrections), eV/atom: -5.8672
Magnetization, μB per cell: 2.215
Polymorph energy (0 for the lowest one), meV per atom: 66

***

# 2
First-principles (GGA-PBE) data for a relaxed Dy3HoTm crystal, as listed in Alexandria via LeMat-Bulk.

The structure in POSCAR format:
```
Dy3HoTm
1.0
-7.899 -2.970 -4.403
3.192 1.880 -5.523
2.397 -4.712 3.286
Dy Tm Ho
6 2 2
Cartesian
1.114 -2.769 -4.976
-2.291 -5.698 -2.773
1.258 0.648 -6.077
-4.824 -4.415 -4.974
3.791 -0.635 -3.875
-2.148 -2.281 -3.874
0.528 -0.141 -2.758
-1.562 -4.909 -6.092
0.393 -3.565 -1.668
-1.426 -1.485 -7.182
```

Properties
Calculated formation energy, meV per atom: 5
Total DFT energy (no corrections), eV/atom: -4.5663
Magnetization, μB per cell: 0.001
Polymorph energy (0 for the lowest one), meV per atom: 0